No. 1
VASP calculation (PBE) on Be2AgPb after structural relaxation.

a b c (Å): 3.1937 3.1937 6.5884
angles (deg): 90.00 90.00 90.00
Space group P4/mmm (No. 123)
Unique sites:
Be  0.0000  0.0000  0.1763 [2 per cell]
Ag  0.5000  0.5000  0.0000 [1 per cell]
Pb  0.5000  0.5000  0.5000 [1 per cell]

Crystal system: tetragonal
E (eV per cell): -12.01
E_form (eV per atom): 0.502

---

No. 2
VASP calculation (PBE) on BeAgPb3 after structural relaxation.

a b c (Å): 5.5008 5.5008 5.5008
angles (deg): 90.00 90.00 90.00
Space group Pm-3m (No. 221)
Unique sites:
Be  0.0000  0.0000  0.0000 [1 per cell]
Ag  0.5000  0.5000  0.5000 [1 per cell]
Pb  0.0000  0.5000  0.5000 [3 per cell]

Crystal system: cubic
E (eV per cell): -13.24
E_form (eV per atom): 0.893
Polymorph energy (0 for the lowest one) (meV per atom): 464

---

No. 3
VASP calculation (PBE) on Be2AgPb after structural relaxation.

a b c (Å): 4.3289 4.3289 16.5579
angles (deg): 90.00 90.00 90.00
Space group I4_1/amd (No. 141, origin choice 2)
Unique sites:
Be  0.0000  0.0000  0.0000 [8 per cell]
Ag  0.0000  0.2500  0.8750 [4 per cell]
Pb  0.0000  0.2500  0.3750 [4 per cell]

Crystal system: tetragonal
E (eV per cell): -47.26
E_form (eV per atom): 0.549

---

Which of these has the lowest E_form?
number 1

---

Repeat the third record exactly.
VASP calculation (PBE) on Be2AgPb after structural relaxation.

a b c (Å): 4.3289 4.3289 16.5579
angles (deg): 90.00 90.00 90.00
Space group I4_1/amd (No. 141, origin choice 2)
Unique sites:
Be  0.0000  0.0000  0.0000 [8 per cell]
Ag  0.0000  0.2500  0.8750 [4 per cell]
Pb  0.0000  0.2500  0.3750 [4 per cell]

Crystal system: tetragonal
E (eV per cell): -47.26
E_form (eV per atom): 0.549

---

Which of these has the highest E?
number 1